# ZnH3Rh2

A relaxed structure of ZnH3Rh2 (PBE, Alexandria).

Properties
Calculated density = 8.4 g cm⁻³
Total moment = 0.00 μB/atom
Space-group type = Cmcm (63)
Offset from the most stable computed form = 40 meV per atom
Uncorrected energy = -4.355 eV/atom
D(E_F) = 5.17 states/eV per cell

Lattice parameters (Å, degrees): 5.5565 4.4719 4.4719 103.57 90.00 90.00
Closest atoms and distances in Å follow each position.
Element x y z (fractional)
1 Zn 0.2500 0.3563 0.3563  3 H 2.10-2.19
2 Zn 0.7500 0.6437 0.6437  3 H 2.10-2.19
3 H 0.7500 0.5517 0.1604  2 Rh 1.76
4 H 0.7500 0.1604 0.5517  2 Rh 1.76
5 H 0.2500 0.4483 0.8396  2 Rh 1.76
6 H 0.7500 0.0398 0.0398  4 Rh 1.99, 1 Zn 2.19, 2 H 2.23
7 H 0.2500 0.9602 0.9602  4 Rh 1.99, 1 Zn 2.19, 2 H 2.23
8 H 0.2500 0.8396 0.4483  2 Rh 1.76
9 Rh 0.5000 0.7992 0.2008  2 H 1.76
10 Rh 0.0000 0.7992 0.2008  2 H 1.76
11 Rh 0.0000 0.2008 0.7992  2 H 1.76
12 Rh 0.5000 0.2008 0.7992  2 H 1.76

=====

# Zn5H12Rh3

A relaxed structure of Zn5H12Rh3 (PBE, Alexandria).

Properties
Calculated density = 6.5 g cm⁻³
Total moment = 0.00 μB/atom
Space-group type = Ia-3d (230)
Uncorrected energy = -3.127 eV/atom
D(E_F) = 21.89 states/eV per cell

Lattice parameters (Å, degrees): 9.5066 9.5066 9.5066 109.47 109.47 109.47
Closest atoms and distances in Å follow each position.
Element x y z (fractional)
1 Rh 0.7500 0.3750 0.1250  4 H 1.80
2 Rh 0.8750 0.7500 0.1250  4 H 1.80
3 Rh 0.3750 0.7500 0.6250  4 H 1.80
4 Rh 0.2500 0.1250 0.3750  4 H 1.80
5 Rh 0.8750 0.1250 0.2500  4 H 1.80
6 Rh 0.3750 0.6250 0.2500  4 H 1.80
7 Rh 0.6250 0.3750 0.7500  4 H 1.80
8 Rh 0.1250 0.8750 0.7500  4 H 1.80
9 Rh 0.7500 0.8750 0.6250  4 H 1.80
10 Rh 0.6250 0.2500 0.3750  4 H 1.80
11 Rh 0.1250 0.2500 0.8750  4 H 1.80
12 Rh 0.2500 0.6250 0.8750  4 H 1.80
13 Zn 0.1250 0.3750 0.2500  4 H 1.84
14 Zn 0.0000 0.5000 0.0000  6 H 1.91
15 Zn 0.0000 0.0000 0.0000  6 H 1.91
16 Zn 0.3750 0.2500 0.1250  4 H 1.84
17 Zn 0.5000 0.0000 0.5000  6 H 1.91
18 Zn 0.5000 0.5000 0.0000  6 H 1.91
19 Zn 0.1250 0.7500 0.3750  4 H 1.84
20 Zn 0.7500 0.1250 0.8750  4 H 1.84
21 Zn 0.7500 0.6250 0.3750  4 H 1.84
22 Zn 0.3750 0.1250 0.7500  4 H 1.84
23 Zn 0.6250 0.8750 0.2500  4 H 1.84
24 Zn 0.5000 0.5000 0.5000  6 H 1.91
25 Zn 0.5000 0.0000 0.0000  6 H 1.91
26 Zn 0.0000 0.0000 0.5000  6 H 1.91
27 Zn 0.2500 0.3750 0.6250  4 H 1.84
28 Zn 0.2500 0.8750 0.1250  4 H 1.84
29 Zn 0.0000 0.5000 0.5000  6 H 1.91
30 Zn 0.8750 0.2500 0.6250  4 H 1.84
31 Zn 0.6250 0.7500 0.8750  4 H 1.84
32 Zn 0.8750 0.6250 0.7500  4 H 1.84
33 H 0.7357 0.1176 0.0609  1 Rh 1.80, 2 Zn 1.84-1.91
34 H 0.3253 0.5609 0.4433  1 Rh 1.80, 2 Zn 1.84-1.91
35 H 0.9391 0.3824 0.2643  1 Rh 1.80, 2 Zn 1.84-1.91
36 H 0.5609 0.2357 0.1176  1 Rh 1.80, 2 Zn 1.84-1.91
37 H 0.6181 0.7357 0.6747  1 Rh 1.80, 2 Zn 1.84-1.91
38 H 0.9391 0.5567 0.1747  1 Rh 1.80, 2 Zn 1.84-1.91
39 H 0.3253 0.7643 0.3819  1 Rh 1.80, 2 Zn 1.84-1.91
40 H 0.0567 0.8819 0.1176  1 Rh 1.80, 2 Zn 1.84-1.91
41 H 0.5567 0.9391 0.6747  1 Rh 1.80, 2 Zn 1.84-1.91
42 H 0.7357 0.6181 0.1747  1 Rh 1.80, 2 Zn 1.84-1.91
43 H 0.7643 0.4391 0.3824  1 Rh 1.80, 2 Zn 1.84-1.91
44 H 0.8253 0.9433 0.0609  1 Rh 1.80, 2 Zn 1.84-1.91
45 H 0.1176 0.7357 0.5609  1 Rh 1.80, 2 Zn 1.84-1.91
46 H 0.3824 0.4433 0.1181  1 Rh 1.80, 2 Zn 1.84-1.91
47 H 0.1181 0.9433 0.3824  1 Rh 1.80, 2 Zn 1.84-1.91
48 H 0.3819 0.1176 0.5567  1 Rh 1.80, 2 Zn 1.84-1.91
49 H 0.1181 0.1747 0.2357  1 Rh 1.80, 2 Zn 1.84-1.91
50 H 0.4391 0.6747 0.0567  1 Rh 1.80, 2 Zn 1.84-1.91
51 H 0.8253 0.8819 0.2643  1 Rh 1.80, 2 Zn 1.84-1.91
52 H 0.1176 0.3819 0.0567  1 Rh 1.80, 2 Zn 1.84-1.91
53 H 0.3824 0.9391 0.7643  1 Rh 1.80, 2 Zn 1.84-1.91
54 H 0.5567 0.6176 0.3819  1 Rh 1.80, 2 Zn 1.84-1.91
55 H 0.9433 0.8253 0.5609  1 Rh 1.80, 2 Zn 1.84-1.91
56 H 0.7643 0.3253 0.8819  1 Rh 1.80, 2 Zn 1.84-1.91
57 H 0.4433 0.3824 0.6181  1 Rh 1.80, 2 Zn 1.84-1.91
58 H 0.0567 0.1747 0.4391  1 Rh 1.80, 2 Zn 1.84-1.91
59 H 0.2357 0.6747 0.1181  1 Rh 1.80, 2 Zn 1.84-1.91
60 H 0.1747 0.1181 0.7357  1 Rh 1.80, 2 Zn 1.84-1.91
61 H 0.6176 0.0609 0.2357  1 Rh 1.80, 2 Zn 1.84-1.91
62 H 0.8824 0.6181 0.9433  1 Rh 1.80, 2 Zn 1.84-1.91
63 H 0.5609 0.3253 0.9433  1 Rh 1.80, 2 Zn 1.84-1.91
64 H 0.6181 0.8824 0.4433  1 Rh 1.80, 2 Zn 1.84-1.91
65 H 0.8819 0.8253 0.7643  1 Rh 1.80, 2 Zn 1.84-1.91
66 H 0.8819 0.0567 0.6176  1 Rh 1.80, 2 Zn 1.84-1.91
67 H 0.8824 0.2643 0.4391  1 Rh 1.80, 2 Zn 1.84-1.91
68 H 0.1747 0.0567 0.9391  1 Rh 1.80, 2 Zn 1.84-1.91
69 H 0.6176 0.5567 0.8819  1 Rh 1.80, 2 Zn 1.84-1.91
70 H 0.4433 0.0609 0.3253  1 Rh 1.80, 2 Zn 1.84-1.91
71 H 0.2643 0.3819 0.8253  1 Rh 1.80, 2 Zn 1.84-1.91
72 H 0.2357 0.5609 0.6176  1 Rh 1.80, 2 Zn 1.84-1.91
73 H 0.9433 0.1181 0.8824  1 Rh 1.80, 2 Zn 1.84-1.91
74 H 0.6747 0.2357 0.6181  1 Rh 1.80, 2 Zn 1.84-1.91
75 H 0.4391 0.7643 0.8824  1 Rh 1.80, 2 Zn 1.84-1.91
76 H 0.0609 0.4433 0.8253  1 Rh 1.80, 2 Zn 1.84-1.91
77 H 0.3819 0.2643 0.3253  1 Rh 1.80, 2 Zn 1.84-1.91
78 H 0.0609 0.6176 0.7357  1 Rh 1.80, 2 Zn 1.84-1.91
79 H 0.6747 0.4391 0.5567  1 Rh 1.80, 2 Zn 1.84-1.91
80 H 0.2643 0.8824 0.9391  1 Rh 1.80, 2 Zn 1.84-1.91

=====

# Zn2H5Rh

A relaxed structure of Zn2H5Rh (PBE, Alexandria).

Properties
Calculated density = 4.7 g cm⁻³
Total moment = 0.00 μB/atom
Space-group type = P1 (1)
Uncorrected energy = -3.359 eV/atom

Lattice parameters (Å, degrees): 4.5305 4.8669 4.7093 103.73 59.85 83.99
Closest atoms and distances in Å follow each position.
Element x y z (fractional)
1 Zn 0.6530 0.0762 0.6711  5 H 1.90-2.09
2 Zn 0.0839 0.5228 0.9291  2 H 1.94-2.01
3 H 0.9519 0.2582 0.3612  1 Rh 1.67
4 H 0.6931 0.8750 0.2051  1 Rh 1.67
5 H 0.6393 0.3000 0.1069  1 Rh 1.65
6 H 0.0744 0.8693 0.6080  1 Rh 1.67
7 H 0.3635 0.8231 0.8939  1 Rh 1.70
8 Rh 0.9869 0.0524 0.0017  5 H 1.65-1.70

=====

# Zn2H3Rh2

A relaxed structure of Zn2H3Rh2 (PBE, Alexandria).

Properties
Calculated density = 8.4 g cm⁻³
Total moment = 0.00 μB/atom
Space-group type = I2_13 (199)
Uncorrected energy = -4.007 eV/atom
D(E_F) = 4.27 states/eV per cell

Lattice parameters (Å, degrees): 5.5902 5.5902 5.5902 109.47 109.47 109.47
Closest atoms and distances in Å follow each position.
Element x y z (fractional)
1 Zn 0.0000 0.0000 0.5088  6 H 2.30
2 Zn 0.5000 0.5088 0.5000  6 H 2.30
3 Zn 0.4912 0.9912 0.9912  6 H 2.30
4 Zn 0.0088 0.5000 0.0000  6 H 2.30
5 H 0.7546 0.7500 0.0046  2 Rh 1.71
6 H 0.7454 0.2500 0.4954  2 Rh 1.71
7 H 0.9954 0.2454 0.2500  2 Rh 1.71
8 H 0.5046 0.2546 0.7500  2 Rh 1.71
9 H 0.2500 0.0046 0.2546  2 Rh 1.71
10 H 0.7500 0.4954 0.2454  2 Rh 1.71
11 Rh 0.0000 0.0000 0.9730  3 H 1.71
12 Rh 0.5000 0.9730 0.5000  3 H 1.71
13 Rh 0.0270 0.5270 0.5270  3 H 1.71
14 Rh 0.4730 0.5000 0.0000  3 H 1.71

=====

# ZnHRh

A relaxed structure of ZnHRh (PBE, Alexandria).

Properties
Calculated density = 8.5 g cm⁻³
Total moment = 0.00 μB/atom
Space-group type = P2_1/m (11)
Uncorrected energy = -4.139 eV/atom
D(E_F) = 1.73 states/eV per cell

Lattice parameters (Å, degrees): 4.6105 5.0844 2.9626 106.88 90.00 90.00
Closest atoms and distances in Å follow each position.
Element x y z (fractional)
1 H 0.2500 0.2010 0.0997  2 Rh 1.72-1.73
2 H 0.7500 0.7990 0.9003  2 Rh 1.72-1.73
3 Zn 0.2500 0.8436 0.4213  2 H 2.28, 2 Rh 2.55
4 Zn 0.7500 0.1564 0.5787  2 H 2.28, 2 Rh 2.55
5 Rh 0.2500 0.3827 0.6904  2 H 1.72-1.73
6 Rh 0.7500 0.6173 0.3096  2 H 1.72-1.73

=====

# ZnHRh3

A relaxed structure of ZnHRh3 (PBE, Alexandria).

Properties
Calculated density = 10.5 g cm⁻³
Total moment = 0.00 μB/atom
Space-group type = Pm-3m (221)
Offset from the most stable computed form = 0 meV per atom
Uncorrected energy = -5.469 eV/atom
D(E_F) = 3.42 states/eV per cell

Lattice parameters (Å, degrees): 3.8981 3.8981 3.8981 90.00 90.00 90.00
Closest atoms and distances in Å follow each position.
Element x y z (fractional)
1 H 0.0000 0.0000 0.0000  6 Rh 1.95
2 Zn 0.5000 0.5000 0.5000  12 Rh 2.76
3 Rh 0.0000 0.5000 0.0000  2 H 1.95
4 Rh 0.0000 0.0000 0.5000  2 H 1.95
5 Rh 0.5000 0.0000 0.0000  2 H 1.95

=====

# ZnH8Rh2

A relaxed structure of ZnH8Rh2 (PBE, Alexandria).

Properties
Calculated density = 5.8 g cm⁻³
Total moment = 0.00 μB/atom
Space-group type = C2/m (12)
Uncorrected energy = -3.789 eV/atom
D(E_F) = 1.20 states/eV per cell

Lattice parameters (Å, degrees): 3.6004 4.7529 4.7529 102.46 91.15 91.15
Closest atoms and distances in Å follow each position.
Element x y z (fractional)
1 Zn 0.5000 0.0000 0.0000  2 H 2.00
2 H 0.9542 0.9191 0.6474  2 Rh 1.75-1.78, 1 H 1.77
3 H 0.9543 0.6474 0.9191  2 Rh 1.75-1.78, 1 H 1.77
4 H 0.2408 0.5284 0.5284  2 Rh 1.76, 4 H 1.76-1.95
5 H 0.5000 0.2701 0.7299  2 Rh 1.81, 2 H 1.95, 1 Zn 2.00
6 H 0.5000 0.7299 0.2701  2 Rh 1.81, 2 H 1.95, 1 Zn 2.00
7 H 0.7592 0.4716 0.4716  2 Rh 1.76, 4 H 1.76-1.95
8 H 0.0457 0.3526 0.0809  2 Rh 1.75-1.78, 1 H 1.77
9 H 0.0458 0.0809 0.3526  2 Rh 1.75-1.78, 1 H 1.77
10 Rh 0.0000 0.7052 0.2948  8 H 1.75-1.81
11 Rh 0.0000 0.2948 0.7052  8 H 1.75-1.81

=====

# Zn2HRh

A relaxed structure of Zn2HRh (PBE, Alexandria).

Properties
Calculated density = 8.4 g cm⁻³
Total moment = 0.00 μB/atom
Space-group type = I-42d (122)
Offset from the most stable computed form = 0 meV per atom
Uncorrected energy = -3.295 eV/atom
D(E_F) = 2.27 states/eV per cell

Lattice parameters (Å, degrees): 6.4211 6.4211 5.0652 50.67 50.67 90.00
Closest atoms and distances in Å follow each position.
Element x y z (fractional)
1 H 0.5000 0.5000 0.0000  4 Zn 2.02, 2 Rh 2.25
2 H 0.2500 0.7500 0.5000  4 Zn 2.02, 2 Rh 2.25
3 Zn 0.5453 0.1250 0.2500  2 H 2.02
4 Zn 0.2047 0.6250 0.2500  2 H 2.02
5 Zn 0.3750 0.4547 0.7500  2 H 2.02
6 Zn 0.8750 0.7953 0.7500  2 H 2.02
7 Rh 0.0000 0.0000 0.0000  2 H 2.25
8 Rh 0.7500 0.2500 0.5000  2 H 2.25

=====

# ZnHRh

A relaxed structure of ZnHRh (PBE, Alexandria).

Properties
Calculated density = 9.0 g cm⁻³
Total moment = 0.00 μB/atom
Space-group type = P2_1/c (14)
Uncorrected energy = -4.221 eV/atom
D(E_F) = 3.63 states/eV per cell

Lattice parameters (Å, degrees): 5.0599 5.6776 5.3875 126.28 90.00 90.00
Closest atoms and distances in Å follow each position.
Element x y z (fractional)
1 Zn 0.6525 0.2820 0.1747  3 H 2.21-2.40
2 Zn 0.3475 0.7180 0.8253  3 H 2.21-2.40
3 Zn 0.8475 0.7820 0.1747  3 H 2.21-2.40
4 Zn 0.1525 0.2180 0.8253  3 H 2.21-2.40
5 H 0.5701 0.9685 0.6776  3 Rh 1.77-1.91
6 H 0.4299 0.0315 0.3224  3 Rh 1.77-1.91
7 H 0.0701 0.5315 0.3224  3 Rh 1.77-1.91
8 H 0.9299 0.4685 0.6776  3 Rh 1.77-1.91
9 Rh 0.1522 0.2235 0.3263  3 H 1.77-1.91
10 Rh 0.3478 0.7235 0.3263  3 H 1.77-1.91
11 Rh 0.8478 0.7765 0.6737  3 H 1.77-1.91
12 Rh 0.6522 0.2765 0.6737  3 H 1.77-1.91

=====

# ZnHRh3

A relaxed structure of ZnHRh3 (PBE, Alexandria).

Properties
Calculated density = 6.4 g cm⁻³
Total moment = 0.77 μB/atom
Space-group type = Pm-3m (221)
Offset from the most stable computed form = 1835 meV per atom
Uncorrected energy = -3.634 eV/atom
D(E_F) = 9.06 states/eV per cell

Lattice parameters (Å, degrees): 4.5944 4.5944 4.5944 90.00 90.00 90.00
Closest atoms and distances in Å follow each position.
Element x y z (fractional)
1 H 0.5000 0.5000 0.5000  12 Rh 3.25
2 Zn 0.0000 0.0000 0.0000  6 Rh 2.30
3 Rh 0.0000 0.5000 0.0000  2 Zn 2.30
4 Rh 0.0000 0.0000 0.5000  2 Zn 2.30
5 Rh 0.5000 0.0000 0.0000  2 Zn 2.30

=====

# ZnH3Rh3

A relaxed structure of ZnH3Rh3 (PBE, Alexandria).

Properties
Calculated density = 9.1 g cm⁻³
Total moment = 0.00 μB/atom
Space-group type = P6_3/m (176)
Offset from the most stable computed form = 0 meV per atom
Uncorrected energy = -4.827 eV/atom
D(E_F) = 12.01 states/eV per cell

Lattice parameters (Å, degrees): 2.7919 7.5501 7.5501 120.00 90.00 90.00
Closest atoms and distances in Å follow each position.
Element x y z (fractional)
1 Zn 0.2500 0.6666 0.3333  9 Rh 2.65-2.72, 2 Zn 2.79
2 Zn 0.7500 0.3334 0.6667  9 Rh 2.65-2.72, 2 Zn 2.79
3 H 0.2500 0.7642 0.9477  3 Rh 1.77-1.83
4 H 0.2500 0.0523 0.8164  3 Rh 1.77-1.83
5 H 0.2500 0.1835 0.2358  3 Rh 1.77-1.83
6 H 0.7500 0.2358 0.0523  3 Rh 1.77-1.83
7 H 0.7500 0.9477 0.1836  3 Rh 1.77-1.83
8 H 0.7500 0.8165 0.7642  3 Rh 1.77-1.83
9 Rh 0.2500 0.0407 0.3634  3 H 1.77-1.83
10 Rh 0.2500 0.6366 0.6773  3 H 1.77-1.83
11 Rh 0.2500 0.3227 0.9593  3 H 1.77-1.83
12 Rh 0.7500 0.9593 0.6366  3 H 1.77-1.83
13 Rh 0.7500 0.3634 0.3227  3 H 1.77-1.83
14 Rh 0.7500 0.6773 0.0407  3 H 1.77-1.83

=====

# ZnH3Rh2

A relaxed structure of ZnH3Rh2 (PBE, Alexandria).

Properties
Calculated density = 8.4 g cm⁻³
Total moment = 0.00 μB/atom
Space-group type = Cc (9)
Offset from the most stable computed form = 0 meV per atom
Uncorrected energy = -4.395 eV/atom
D(E_F) = 3.55 states/eV per cell

Lattice parameters (Å, degrees): 5.0074 5.0074 4.9002 101.07 101.07 110.01
Closest atoms and distances in Å follow each position.
Element x y z (fractional)
1 Zn 0.0230 0.8403 0.4931  3 H 2.17-2.42
2 Zn 0.8403 0.0230 0.9931  3 H 2.17-2.42
3 H 0.1465 0.3209 0.4037  2 Rh 1.73
4 H 0.3209 0.1465 0.9037  2 Rh 1.73
5 H 0.9764 0.4744 0.9115  3 Rh 1.78-1.86
6 H 0.4744 0.9764 0.4115  3 Rh 1.78-1.86
7 H 0.3683 0.5387 0.8238  3 Rh 1.77-1.86
8 H 0.5387 0.3683 0.3238  3 Rh 1.77-1.86
9 Rh 0.6501 0.4549 0.0192  4 H 1.73-1.79
10 Rh 0.8315 0.2699 0.5200  4 H 1.73-1.86
11 Rh 0.4549 0.6501 0.5192  4 H 1.73-1.79
12 Rh 0.2699 0.8315 0.0200  4 H 1.73-1.86